No. 1
The following is a PBE calculation of an optimized crystal structure of CeMg2Au2, from the Alexandria database.

Lattice parameters (Å, degrees): 4.1898 4.1898 12.9357 90.00 90.00 90.00
Space group I4/mmm (No. 139)
Unique sites:
Ce 0.0000 0.0000 0.0000 x2
Mg 0.0000 0.5000 0.2500 x4
Au 0.0000 0.0000 0.3910 x4

Output
E above lowest polymorph: 0.000 eV/atom
calculated formation energy: -559 meV/atom
total magnetic moment: 0.22 μB per atom
calculated density: 8.52 g cm⁻³

***

No. 2
The following is a PBE calculation of an optimized crystal structure of ScCd2Br, from the Alexandria database.

Lattice parameters (Å, degrees): 3.7898 5.5584 10.1272 90.00 90.00 90.00
Space group Cmm2 (No. 35)
Unique sites:
Sc 0.0000 0.0000 0.0000 x2
Cd 0.0000 0.0000 0.5430 x2
Cd 0.0000 0.5000 0.7760 x2
Br 0.0000 0.5000 0.1882 x2

Output
E above lowest polymorph: 0.067 eV/atom
energy relative to the elements, uncorrected: -0.379 eV per atom
total magnetic moment: 0.00 μB per atom
calculated density: 5.44 g cm⁻³

***

No. 3
The following is a PBE calculation of an optimized crystal structure of Pr2Al7Rh, from the Alexandria database.

Lattice parameters (Å, degrees): 4.2405 4.2405 11.1878 90.00 90.00 90.00
Space group P-4m2 (No. 115)
Unique sites:
Pr 0.0000 0.5000 0.2495 x2
Al 0.0000 0.0000 0.0000 x1
Al 0.0000 0.5000 0.6251 x2
Al 0.0000 0.5000 0.8552 x2
Al 0.5000 0.5000 0.0000 x1
Al 0.5000 0.5000 0.5000 x1
Rh 0.0000 0.0000 0.5000 x1

Output
calculated formation energy: -495 meV/atom
total magnetic moment: 0.00 μB per atom
calculated density: 4.73 g cm⁻³

***

No. 4
The following is a PBE calculation of an optimized crystal structure of AcPrSm2Y, from the Alexandria database.

Lattice parameters (Å, degrees): 6.5176 5.9496 9.9226 90.00 108.73 90.00
Space group P2_1/m (No. 11)
Unique sites:
Ac 0.0687 0.2500 0.2997 x2
Pr 0.3383 0.7500 0.5018 x2
Sm 0.2751 0.2500 0.7094 x2
Sm 0.4654 0.2500 0.0957 x2
Y 0.1360 0.7500 0.0960 x2

Output
calculated formation energy: 42 meV/atom
total magnetic moment: 0.00 μB per atom
calculated density: 6.90 g cm⁻³

***

No. 5
The following is a PBE calculation of an optimized crystal structure of CuIr2Pt, from the Alexandria database.

Lattice parameters (Å, degrees): 3.7025 3.7025 18.1923 90.00 90.00 90.00
Space group I-42d (No. 122)
Unique sites:
Cu 0.0000 0.0000 0.0000 x4
Ir 0.2419 0.2500 0.1250 x8
Pt 0.0000 0.0000 0.5000 x4

Output
E above lowest polymorph: 0.463 eV/atom
calculated formation energy: 468 meV/atom
total magnetic moment: 0.00 μB per atom
calculated density: 17.13 g cm⁻³

***

No. 6
The following is a PBE calculation of an optimized crystal structure of Ba4CaHg, from the Alexandria database.

Lattice parameters (Å, degrees): 11.0499 15.9696 7.5561 90.00 108.56 90.00
Space group C2/c (No. 15)
Unique sites:
Ba 0.1079 0.1697 0.0506 x8
Ba 0.2237 0.4068 0.3746 x8
Ca 0.0000 0.3887 0.7500 x4
Hg 0.0000 0.0006 0.2500 x4

Output
E above lowest polymorph: 0.043 eV/atom
calculated formation energy: -116 meV/atom
total magnetic moment: 0.00 μB per atom
calculated density: 4.15 g cm⁻³

***

> Which value of total magnetic moment does entry 3 give?

0.00 μB per atom

***

> Which value of total magnetic moment does entry 3 give?

0.00 μB per atom

***

> What is the calculated density in the fourth record?

6.90 g cm⁻³

***

What did the first record say?
The following is a PBE calculation of an optimized crystal structure of CeMg2Au2, from the Alexandria database.

Lattice parameters (Å, degrees): 4.1898 4.1898 12.9357 90.00 90.00 90.00
Space group I4/mmm (No. 139)
Unique sites:
Ce 0.0000 0.0000 0.0000 x2
Mg 0.0000 0.5000 0.2500 x4
Au 0.0000 0.0000 0.3910 x4

Output
E above lowest polymorph: 0.000 eV/atom
calculated formation energy: -559 meV/atom
total magnetic moment: 0.22 μB per atom
calculated density: 8.52 g cm⁻³